No. 1
# PBE PrGa4Au4, relaxed
# Fermi-level density of states in states/eV per cell: 7.0
# Total magnetic moment in μB/f.u.: 0.00
# Electronic total energy in eV per atom: -3.738
# Formation energy in eV/atom: -0.405
data_PrGa4Au4
_chemical_formula_sum 'Pr2 Ga8 Au8'
_cell_length_a 6.3087
_cell_length_b 6.3087
_cell_length_c 9.0182
_cell_angle_alpha 90.00
_cell_angle_beta 90.00
_cell_angle_gamma 90.00
_space_group_name_H-M_alt 'P 42/n m c'
_space_group_IT_number 137
loop_
_space_group_symop_operation_xyz
'x,y,z'
'-x,-y,-z'
'-y+1/2,x,z+1/2'
'y+1/2,-x,-z+1/2'
'-x+1/2,-y+1/2,z'
'x+1/2,y+1/2,-z'
'y,-x+1/2,z+1/2'
'-y,x+1/2,-z+1/2'
'x+1/2,-y,-z'
'-x+1/2,y,z'
'-y,-x,-z+1/2'
'y,x,z+1/2'
'-x,y+1/2,-z'
'x,-y+1/2,z'
'y+1/2,x+1/2,-z+1/2'
'-y+1/2,-x+1/2,z+1/2'
loop_
_atom_site_label
_atom_site_type_symbol
_atom_site_fract_x
_atom_site_fract_y
_atom_site_fract_z
Pr1 Pr 0.2500 0.7500 0.2500
Ga1 Ga 0.0345 0.2500 0.1494
Au1 Au 0.0230 0.2500 0.4400



No. 2
# PBE FeReMo2, relaxed
# Fermi-level density of states in states/eV per cell: 5.1
# Total magnetic moment in μB/f.u.: 2.61
# Electronic total energy in eV per atom: -10.551
# Formation energy in eV/atom: 0.092
# Energy above the lowest structure with this stoichiometry in eV/atom: 0.004
data_FeReMo2
_chemical_formula_sum 'Fe2 Re2 Mo4'
_cell_length_a 5.3475
_cell_length_b 8.7700
_cell_length_c 2.6640
_cell_angle_alpha 90.00
_cell_angle_beta 108.71
_cell_angle_gamma 90.00
_space_group_name_H-M_alt 'C 1 2/m 1'
_space_group_IT_number 12
loop_
_space_group_symop_operation_xyz
'x,y,z'
'-x,-y,-z'
'-x,y,-z'
'x,-y,z'
'x+1/2,y+1/2,z'
'-x+1/2,-y+1/2,-z'
'-x+1/2,y+1/2,-z'
'x+1/2,-y+1/2,z'
loop_
_atom_site_label
_atom_site_type_symbol
_atom_site_fract_x
_atom_site_fract_y
_atom_site_fract_z
Fe1 Fe 0.0000 0.0000 0.0000
Re1 Re 0.0000 0.5000 0.0000
Mo1 Mo 0.2500 0.2500 0.5000



No. 3
# PBE KCuBr2, relaxed
# Total magnetic moment in μB/f.u.: 0.00
# Electronic total energy in eV per atom: -2.999
# Energy above the lowest structure with this stoichiometry in eV/atom: 0.133
# E_form (uncorrected) in kJ per mole of atoms: -83.4
data_KCuBr2
_chemical_formula_sum 'K1 Cu1 Br2'
_cell_length_a 4.3041
_cell_length_b 3.7981
_cell_length_c 7.3168
_cell_angle_alpha 90.00
_cell_angle_beta 91.17
_cell_angle_gamma 90.00
_space_group_name_H-M_alt 'P 1 2/m 1'
_space_group_IT_number 10
loop_
_space_group_symop_operation_xyz
'x,y,z'
'-x,-y,-z'
'-x,y,-z'
'x,-y,z'
loop_
_atom_site_label
_atom_site_type_symbol
_atom_site_fract_x
_atom_site_fract_y
_atom_site_fract_z
K1 K 0.0000 0.0000 0.0000
Cu1 Cu 0.5000 0.0000 0.5000
Br1 Br 0.4913 0.5000 0.7372